[1]
! CrHg2Mo, single point on PBEsol structure, DFT meta-GGA SCAN; values from VASP
&SYSTEM
  ibrav = 0, nat = 4, ntyp = 3
/
ATOMIC_SPECIES
Cr 52.00 Cr.upf
Hg 200.59 Hg.upf
Mo 95.94 Mo.upf
CELL_PARAMETERS angstrom
0.0000 3.2644 3.2644
3.2644 0.0000 3.2644
3.2644 3.2644 0.0000
ATOMIC_POSITIONS angstrom
Cr 0.0000 0.0000 0.0000
Hg 1.6322 1.6322 1.6322
Hg 4.8966 4.8966 4.8966
Mo 3.2644 3.2644 3.2644
! Formation enthalpy at 0 K   0.48 eV per atom
! Polymorph energy (0 for the lowest one)   0.00 eV/f.u.
! Symmetry   Fm-3m (225)



[2]
! CrHgMo, single point on PBEsol structure, DFT meta-GGA SCAN; values from VASP
&SYSTEM
  ibrav = 0, nat = 3, ntyp = 3
/
ATOMIC_SPECIES
Cr 52.00 Cr.upf
Hg 200.59 Hg.upf
Mo 95.94 Mo.upf
CELL_PARAMETERS angstrom
0.0000 3.0890 3.0890
3.0890 0.0000 3.0890
3.0890 3.0890 0.0000
ATOMIC_POSITIONS angstrom
Cr 0.0000 0.0000 0.0000
Hg 1.5445 1.5445 1.5445
Mo 3.0890 3.0890 3.0890
! Formation enthalpy at 0 K   1.08 eV per atom
! Polymorph energy (0 for the lowest one)   1.70 eV/f.u.
! Symmetry   F-43m (216)



[3]
! CrHgMo, single point on PBEsol structure, DFT meta-GGA SCAN; values from VASP
&SYSTEM
  ibrav = 0, nat = 3, ntyp = 3
/
ATOMIC_SPECIES
Cr 52.00 Cr.upf
Hg 200.59 Hg.upf
Mo 95.94 Mo.upf
CELL_PARAMETERS angstrom
0.0000 2.2993 6.6816
1.5531 0.0000 6.6816
1.5531 2.2993 0.0000
ATOMIC_POSITIONS angstrom
Cr 0.0000 0.0000 0.0000
Hg 1.5531 2.2993 9.0362
Mo 1.5531 2.2993 4.8832
! Formation enthalpy at 0 K   0.51 eV per atom
! Polymorph energy (0 for the lowest one)   0.00 eV/f.u.
! Symmetry   Fmm2 (42)



[4]
! Cr2HgMo, single point on PBEsol structure, DFT meta-GGA SCAN; values from VASP
&SYSTEM
  ibrav = 0, nat = 4, ntyp = 3
/
ATOMIC_SPECIES
Cr 52.00 Cr.upf
Hg 200.59 Hg.upf
Mo 95.94 Mo.upf
CELL_PARAMETERS angstrom
-1.5251 2.1553 4.3241
1.5251 -2.1553 4.3241
1.5251 2.1553 -4.3241
ATOMIC_POSITIONS angstrom
Cr 0.0000 0.0000 0.0000
Cr 0.0000 2.1553 2.5559
Hg 1.5251 0.0000 2.3089
Mo 0.0000 0.0000 4.7308
! Formation enthalpy at 0 K   0.51 eV per atom
! Symmetry   Imm2 (44)



[5]
! Cr2HgMo, single point on PBEsol structure, DFT meta-GGA SCAN; values from VASP
&SYSTEM
  ibrav = 0, nat = 4, ntyp = 3
/
ATOMIC_SPECIES
Cr 52.00 Cr.upf
Hg 200.59 Hg.upf
Mo 95.94 Mo.upf
CELL_PARAMETERS angstrom
3.1595 0.0000 0.0000
0.0000 3.1595 0.0000
0.0000 0.0000 5.8435
ATOMIC_POSITIONS angstrom
Cr 0.0000 0.0000 1.1853
Cr 0.0000 0.0000 4.6582
Hg 1.5797 1.5797 2.9217
Mo 1.5797 1.5797 0.0000
! Formation enthalpy at 0 K   0.41 eV per atom
! Symmetry   P4/mmm (123)



[6]
! Cr3HgMo, single point on PBEsol structure, DFT meta-GGA SCAN; values from VASP
&SYSTEM
  ibrav = 0, nat = 5, ntyp = 3
/
ATOMIC_SPECIES
Cr 52.00 Cr.upf
Hg 200.59 Hg.upf
Mo 95.94 Mo.upf
CELL_PARAMETERS angstrom
4.8736 0.0000 0.0000
0.0000 4.8736 0.0000
0.0000 0.0000 4.8736
ATOMIC_POSITIONS angstrom
Cr 0.0000 0.0000 2.4368
Cr 0.0000 2.4368 0.0000
Cr 2.4368 0.0000 0.0000
Hg 0.0000 0.0000 0.0000
Mo 2.4368 2.4368 2.4368
! Formation enthalpy at 0 K   1.59 eV per atom
! Symmetry   Pm-3m (221)